1.
Computed, not measured: a relaxed structure of FeS2NF at the PBE with a Hubbard U level of DFT.

Values from the calculation:
Mass density: 3.48 Mg/m³
E above lowest polymorph: 1127 meV per atom
Crystal system: tetragonal

a = 4.422 Å, b = 4.422 Å, c = 3.729 Å
α = 90.00°, β = 90.00°, γ = 90.00°
Each line ends with the local moment (μB).
Element x y z (fractional)
S1 0.000 0.500 0.000  -0.11
S2 0.500 0.000 0.000  -0.11
N1 0.000 0.000 0.500  0.80
Fe1 0.500 0.500 0.500  -0.33
F1 0.000 0.000 0.000  -0.05

=====

2.
Computed, not measured: a relaxed structure of FeS2NF at the PBE with a Hubbard U level of DFT.

Values from the calculation:
Mass density: 3.10 Mg/m³
E above lowest polymorph: 0 meV per atom
Crystal system: tetragonal

a = 4.778 Å, b = 4.778 Å, c = 3.592 Å
α = 90.00°, β = 90.00°, γ = 90.00°
Each line ends with the local moment (μB).
Element x y z (fractional)
S1 0.000 0.500 0.000  -0.74
S2 0.500 0.000 0.000  -0.74
N1 0.000 0.000 0.500  -0.65
Fe1 0.000 0.000 0.000  3.54
F1 0.500 0.500 0.500  -0.44

=====

3.
Computed, not measured: a relaxed structure of FeSN2F at the PBE with a Hubbard U level of DFT.

Values from the calculation:
Mass density: 3.31 Mg/m³
E above lowest polymorph: 195 meV per atom
Crystal system: tetragonal

a = 3.638 Å, b = 3.638 Å, c = 5.114 Å
α = 90.00°, β = 90.00°, γ = 90.00°
Each line ends with the local moment (μB).
Element x y z (fractional)
S1 0.000 0.000 0.500  -0.37
N1 0.000 0.500 0.000  -0.65
N2 0.500 0.000 0.000  -0.65
Fe1 0.000 0.000 0.000  3.31
F1 0.500 0.500 0.500  -0.06

=====

4.
Computed, not measured: a relaxed structure of FeSN2F at the PBE with a Hubbard U level of DFT.

Values from the calculation:
Mass density: 4.19 Mg/m³
E above lowest polymorph: 0 meV per atom
Crystal system: tetragonal

a = 3.558 Å, b = 3.558 Å, c = 4.227 Å
α = 90.00°, β = 90.00°, γ = 90.00°
Each line ends with the local moment (μB).
Element x y z (fractional)
S1 0.000 0.000 0.000  -0.03
N1 0.000 0.500 0.000  0.14
N2 0.500 0.000 0.000  0.14
Fe1 0.500 0.500 0.500  3.72
F1 0.000 0.000 0.500  0.02

=====

| no. | magnetization (μB/cell) |
| --- | --- |
| 1 | 0.401 |
| 2 | 0.013 |
| 3 | 0.974 |
| 4 | 4.096 |